[1]
DFT (PBE) results for a relaxed structure of Na2As2Pd.

Geometry as extended XYZ:
```
10
Lattice="6.498 0.000 0.000 0.000 6.498 0.000 0.000 0.000 4.867" Properties=species:S:1:pos:R:3 pbc="T T T"
As 0.896 2.353 0.000
As 2.353 5.602 0.000
As 4.146 0.896 0.000
As 5.602 4.146 0.000
Na 4.379 5.369 2.433
Na 5.369 2.120 2.433
Na 2.120 1.129 2.433
Na 1.129 4.379 2.433
Pd 3.249 3.249 0.000
Pd 0.000 0.000 0.000
```

Computed properties:
**Calculated formation energy**: -0.459 eV/atom
**SG**: P4/mbm
**M_tot**: 0.0 μB/f.u.
**Electronic total energy**: -3.89 eV per atom
**Energy above the most stable polymorph in this dataset**: 0.000 eV/atom


[2]
DFT (PBE) results for a relaxed structure of InPdAu3.

Geometry as extended XYZ:
```
10
Lattice="4.046 0.000 0.925 0.000 3.955 0.000 -0.425 0.000 11.174" Properties=species:S:1:pos:R:3 pbc="T T T"
In 0.569 0.989 3.550
In 1.630 2.966 8.223
Pd 3.629 0.989 8.789
Pd 2.616 2.966 3.909
Au 1.055 2.966 1.423
Au 0.083 2.966 5.676
Au 2.116 0.989 6.097
Au 1.144 0.989 10.350
Au 3.098 0.989 1.799
Au 3.147 2.966 10.899
```

Computed properties:
**Calculated formation energy**: -0.216 eV/atom
**SG**: Cmcm
**M_tot**: 0.0 μB/f.u.
**Electronic total energy**: -3.77 eV per atom
**Energy above the most stable polymorph in this dataset**: 0.000 eV/atom


[3]
DFT (PBE) results for a relaxed structure of Tc2PbSe.

Geometry as extended XYZ:
```
4
Lattice="-0.984 1.289 -4.258 0.807 -1.374 -4.269 -5.565 -3.737 -1.173" Properties=species:S:1:pos:R:3 pbc="T T T"
Tc -0.468 -0.281 -8.564
Tc -0.901 -0.596 -2.477
Pb -2.454 -1.631 -4.835
Se -4.967 -3.311 -7.203
```

Computed properties:
**E_form (uncorrected)**: 284 meV/atom
**SG**: Cm
**M_tot**: 0.0 μB/f.u.
**Electronic total energy**: -6.70 eV per atom
**Energy above the most stable polymorph in this dataset**: 0.131 eV/atom


[4]
DFT (PBE) results for a relaxed structure of NbZn2Au.

Geometry as extended XYZ:
```
4
Lattice="3.929 0.000 0.000 0.000 4.084 0.000 0.000 0.000 4.084" Properties=species:S:1:pos:R:3 pbc="T T T"
Zn 0.000 2.042 0.000
Zn 0.000 0.000 2.042
Nb 1.964 0.000 0.000
Au 1.964 2.042 2.042
```

Computed properties:
**Calculated formation energy**: -0.088 eV/atom
**SG**: P4/mmm
**M_tot**: 0.0 μB/f.u.
**Electronic total energy**: -4.06 eV per atom